[1]
The following is a PBE calculation of crystalline YTcN3 at its relaxed geometry, from the Alexandria database.

Properties
V, Å³/f.u.: 65.1
Magnetic moment, μB/cell: 0.00
Uncorrected formation energy, meV per atom: -80
ρ, g/cm³: 5.84
DOS(E_F), states/eV per atom: 0.64

abc: 10.991 10.991 10.991
angles: 161.75 161.75 25.92
Fractional positions:
1 Y 0.000 0.000 0.000
2 Y 0.750 0.250 0.500
3 Tc 0.133 0.633 0.500
4 Tc 0.367 0.867 0.500
5 N 0.316 0.316 0.000
6 N 0.412 0.098 0.314
7 N 0.684 0.684 0.000
8 N 0.785 0.098 0.686
9 N 0.902 0.215 0.314
10 N 0.902 0.588 0.686

***

[2]
The following is a PBE calculation of crystalline La3PbSeBr at its relaxed geometry, from the Alexandria database.

Properties
V, Å³/f.u.: 194.8
Magnetic moment, μB/cell: 3.01
Uncorrected formation energy, meV per atom: -1265
ρ, g/cm³: 6.67
DOS(E_F), states/eV per atom: 0.53

abc: 8.320 4.519 11.059
angles: 90.00 110.43 90.00
Fractional positions:
1 La 0.183 0.250 0.118
2 La 0.190 0.250 0.488
3 La 0.313 0.750 0.832
4 La 0.687 0.250 0.168
5 La 0.810 0.750 0.512
6 La 0.817 0.750 0.882
7 Pb 0.002 0.250 0.741
8 Pb 0.998 0.750 0.259
9 Se 0.423 0.750 0.116
10 Se 0.577 0.250 0.884
11 Br 0.468 0.750 0.612
12 Br 0.532 0.250 0.388

***

[3]
The following is a PBE calculation of crystalline Mg2TiZn2 at its relaxed geometry, from the Alexandria database.

Properties
V, Å³/f.u.: 89.9
Magnetic moment, μB/cell: 2.46
Energy above the most stable polymorph in this dataset, meV per atom: 0
ρ, g/cm³: 4.20
DOS(E_F), states/eV per atom: 0.65

abc: 7.556 7.556 3.149
angles: 90.00 90.00 90.00
Fractional positions:
1 Mg 0.175 0.325 0.000
2 Mg 0.325 0.825 0.000
3 Mg 0.675 0.175 0.000
4 Mg 0.825 0.675 0.000
5 Ti 0.000 0.000 0.500
6 Ti 0.500 0.500 0.500
7 Zn 0.125 0.625 0.500
8 Zn 0.375 0.125 0.500
9 Zn 0.625 0.875 0.500
10 Zn 0.875 0.375 0.500

***

- Which of these has the lowest V?
  YTcN3

***

- Which of these has the highest V?
  La3PbSeBr